## i
First-principles (PBE) data for crystalline Pr2Nd3Er6 at its relaxed geometry, as listed in Alexandria. Values from VASP.

```
&SYSTEM
  ibrav = 0, nat = 11, ntyp = 3
/
ATOMIC_SPECIES
Pr 140.91 Pr.upf
Nd 144.24 Nd.upf
Er 167.26 Er.upf
CELL_PARAMETERS angstrom
5.9131 0.0000 1.7644
2.9565 5.3521 0.8822
-1.3149 0.0000 11.6281
ATOMIC_POSITIONS angstrom
Pr 5.2556 1.7844 7.5785
Nd 2.9565 1.7578 0.8822
Nd 5.9131 3.5943 1.7644
Pr 2.2991 3.5677 6.6963
Er 4.1065 1.7821 4.2275
Er 1.1547 0.0000 3.3443
Er 3.4434 0.0000 10.0482
Er 3.4482 3.5700 10.0473
Er 7.0631 3.5700 5.1097
Nd 0.0000 0.0000 0.0000
Er 0.4916 1.7821 9.1651
```

Output
ρ (Mg/m³): 7.50

=====

## ii
First-principles (PBE) data for crystalline Pr2Nd3Er6 at its relaxed geometry, as listed in Alexandria. Values from VASP.

```
&SYSTEM
  ibrav = 0, nat = 11, ntyp = 3
/
ATOMIC_SPECIES
Er 167.26 Er.upf
Nd 144.24 Nd.upf
Pr 140.91 Pr.upf
CELL_PARAMETERS angstrom
4.7808 0.0000 0.0000
0.0000 4.7808 0.0000
-2.3904 -2.3904 16.6080
ATOMIC_POSITIONS angstrom
Er 0.0000 0.0000 10.2392
Er 2.3904 0.0000 4.0286
Er 0.0000 2.3904 12.5794
Er 2.3904 2.3904 6.3688
Nd 2.3904 2.3904 9.8089
Nd 0.0000 0.0000 6.7992
Er 2.3904 0.0000 12.5794
Pr 2.3904 2.3904 1.5491
Er 0.0000 2.3904 4.0286
Pr 0.0000 0.0000 15.0589
Nd 0.0000 0.0000 0.0000
```

Output
ρ (Mg/m³): 7.52

=====

Computed stability ranking, most favorable first: i, ii